No. 1
The following is a PBE calculation of a relaxed NdSm3Dy4 crystal, from Alexandria.

## Properties
For the formation energy from the elements, the calculation gives 0.0240 eV per atom. As for the space group: No. 31.

Unit cell a=11.5021 b=7.3116 c=6.3100 alpha=90.00 beta=90.00 gamma=90.00
Positions (direct):
Nd: 0.0000 0.1265 0.0000
Nd: 0.5000 0.8735 0.5000
Sm: 0.0000 0.8729 0.5000
Sm: 0.2499 0.1274 0.3341
Sm: 0.2501 0.8726 0.8341
Sm: 0.5000 0.1271 0.0000
Sm: 0.7501 0.1274 0.3341
Sm: 0.7499 0.8726 0.8341
Dy: 0.0000 0.3777 0.5008
Dy: 0.0000 0.6224 0.0009
Dy: 0.2495 0.6226 0.3337
Dy: 0.2505 0.3774 0.8337
Dy: 0.5000 0.3776 0.5009
Dy: 0.5000 0.6223 0.0008
Dy: 0.7495 0.3774 0.8337
Dy: 0.7505 0.6226 0.3337

No. 2
The following is a PBE calculation of a relaxed Nd2SmDy12 crystal, from Alexandria.

## Properties
For the formation energy from the elements, the calculation gives 0.1092 eV per atom. As for the space group: No. 12.

Unit cell a=6.6438 b=6.6438 c=24.5132 alpha=92.21 beta=92.21 gamma=115.40
Positions (direct):
Nd: 0.0678 0.0678 0.2729
Nd: 0.4317 0.4317 0.7270
Nd: 0.5683 0.5683 0.2730
Nd: 0.9322 0.9322 0.7271
Sm: 0.2500 0.2500 0.0000
Sm: 0.7500 0.7500 0.0000
Dy: 0.0501 0.5500 0.2007
Dy: 0.0825 0.5821 0.3311
Dy: 0.1385 0.6377 0.5548
Dy: 0.1420 0.1420 0.5720
Dy: 0.2163 0.2163 0.8638
Dy: 0.2321 0.7322 0.9260
Dy: 0.2678 0.7679 0.0740
Dy: 0.2837 0.2837 0.1361
Dy: 0.3573 0.3573 0.4285
Dy: 0.3623 0.8615 0.4452
Dy: 0.4179 0.9175 0.6689
Dy: 0.4500 0.9499 0.7993
Dy: 0.5500 0.0501 0.2007
Dy: 0.5821 0.0825 0.3311
Dy: 0.6377 0.1385 0.5548
Dy: 0.6427 0.6427 0.5715
Dy: 0.7163 0.7163 0.8639
Dy: 0.7322 0.2321 0.9260
Dy: 0.7679 0.2678 0.0740
Dy: 0.7837 0.7837 0.1362
Dy: 0.8580 0.8580 0.4280
Dy: 0.8615 0.3623 0.4452
Dy: 0.9175 0.4179 0.6689
Dy: 0.9499 0.4500 0.7993

No. 3
The following is a PBE calculation of a relaxed Nd4Sm5Dy3 crystal, from Alexandria.

## Properties
For the formation energy from the elements, the calculation gives 0.2133 eV per atom. As for the space group: No. 12.

Unit cell a=8.7044 b=8.7044 c=9.4353 alpha=114.74 beta=114.74 gamma=40.26
Positions (direct):
Nd: 0.0828 0.0828 0.4423
Nd: 0.2163 0.2163 0.8790
Nd: 0.7837 0.7837 0.1210
Nd: 0.9172 0.9172 0.5577
Sm: 0.0000 0.0000 0.0000
Sm: 0.3279 0.3279 0.6115
Sm: 0.4265 0.4265 0.2985
Sm: 0.5735 0.5735 0.7015
Sm: 0.6721 0.6721 0.3885
Dy: 0.2090 0.2090 0.2291
Dy: 0.5000 0.5000 0.0000
Dy: 0.7910 0.7910 0.7709

No. 4
The following is a PBE calculation of a relaxed Nd3SmDy2 crystal, from Alexandria.

## Properties
For the formation energy from the elements, the calculation gives 0.0159 eV per atom. As for the space group: No. 15.

Unit cell a=6.2790 b=6.2790 c=12.0269 alpha=110.34 beta=110.34 gamma=70.54
Positions (direct):
Nd: 0.1256 0.8744 0.7500
Nd: 0.2085 0.4579 0.9164
Nd: 0.4579 0.2085 0.4164
Nd: 0.5421 0.7915 0.5836
Nd: 0.7915 0.5421 0.0836
Nd: 0.8744 0.1256 0.2500
Sm: 0.3744 0.6256 0.2500
Sm: 0.6256 0.3744 0.7500
Dy: 0.0416 0.2908 0.5826
Dy: 0.2908 0.0416 0.0826
Dy: 0.7092 0.9584 0.9174
Dy: 0.9584 0.7092 0.4174

No. 5
The following is a PBE calculation of a relaxed Nd12Sm5Dy2 crystal, from Alexandria.

## Properties
For the formation energy from the elements, the calculation gives 0.1663 eV per atom. As for the space group: No. 12.

Unit cell a=10.0227 b=10.0227 c=10.5790 alpha=109.93 beta=109.93 gamma=42.17
Positions (direct):
Nd: 0.0013 0.0013 0.3221
Nd: 0.0816 0.5849 0.4763
Nd: 0.0924 0.5868 0.1314
Nd: 0.4132 0.9076 0.8686
Nd: 0.4151 0.9184 0.5237
Nd: 0.4748 0.4748 0.7558
Nd: 0.5252 0.5252 0.2442
Nd: 0.5849 0.0816 0.4763
Nd: 0.5868 0.0924 0.1314
Nd: 0.9076 0.4132 0.8686
Nd: 0.9184 0.4151 0.5237
Nd: 0.9987 0.9987 0.6779
Sm: 0.1738 0.1738 0.2080
Sm: 0.3145 0.3145 0.8150
Sm: 0.5000 0.5000 0.5000
Sm: 0.6855 0.6855 0.1850
Sm: 0.8262 0.8262 0.7920
Dy: 0.2227 0.7773 0.0000
Dy: 0.7773 0.2227 0.0000

No. 6
The following is a PBE calculation of a relaxed NdSm4Dy3 crystal, from Alexandria.

## Properties
For the formation energy from the elements, the calculation gives 0.0249 eV per atom. As for the space group: No. 31.

Unit cell a=11.5504 b=7.3275 c=6.3287 alpha=90.00 beta=90.00 gamma=90.00
Positions (direct):
Nd: 0.0000 0.1249 0.0000
Nd: 0.5000 0.8751 0.5000
Sm: 0.0000 0.3735 0.5021
Sm: 0.0000 0.6269 0.9979
Sm: 0.2476 0.6255 0.3334
Sm: 0.2524 0.3745 0.8334
Sm: 0.5000 0.3731 0.4979
Sm: 0.5000 0.6265 0.0021
Sm: 0.7476 0.3745 0.8334
Sm: 0.7524 0.6255 0.3334
Dy: 0.0000 0.8767 0.4998
Dy: 0.2500 0.1236 0.3329
Dy: 0.2500 0.8764 0.8329
Dy: 0.5000 0.1233 0.9998
Dy: 0.7500 0.1236 0.3329
Dy: 0.7500 0.8764 0.8329

No. 7
The following is a PBE calculation of a relaxed Nd5Sm5Dy crystal, from Alexandria.

## Properties
For the formation energy from the elements, the calculation gives 0.1360 eV per atom. As for the space group: No. 2.

Unit cell a=7.0171 b=7.0179 c=8.8161 alpha=74.90 beta=75.14 gamma=69.63
Positions (direct):
Nd: 0.0000 0.0000 0.0000
Nd: 0.1455 0.6481 0.3626
Nd: 0.3550 0.2697 0.7347
Nd: 0.6450 0.7303 0.2653
Nd: 0.8545 0.3519 0.6374
Sm: 0.2232 0.1505 0.2707
Sm: 0.3202 0.8158 0.6360
Sm: 0.5000 0.5000 0.0000
Sm: 0.6798 0.1842 0.3640
Sm: 0.7768 0.8495 0.7293
Dy: 0.0000 0.5000 0.0000

No. 8
The following is a PBE calculation of a relaxed NdSm5Dy crystal, from Alexandria.

## Properties
For the formation energy from the elements, the calculation gives 0.1713 eV per atom. As for the space group: No. 15.

Unit cell a=6.8976 b=6.8976 c=12.3521 alpha=107.79 beta=107.79 gamma=59.89
Positions (direct):
Nd: 0.0000 0.5000 0.0000
Nd: 0.5000 0.0000 0.5000
Sm: 0.0802 0.9198 0.2500
Sm: 0.0835 0.3546 0.2494
Sm: 0.1561 0.6889 0.4993
Sm: 0.3111 0.8439 0.0007
Sm: 0.3546 0.0835 0.7494
Sm: 0.6454 0.9165 0.2506
Sm: 0.6889 0.1561 0.9993
Sm: 0.8439 0.3111 0.5007
Sm: 0.9165 0.6454 0.7506
Sm: 0.9198 0.0802 0.7500
Dy: 0.4748 0.5252 0.7500
Dy: 0.5252 0.4748 0.2500

No. 9
The following is a PBE calculation of a relaxed NdSm4Dy15 crystal, from Alexandria.

## Properties
For the formation energy from the elements, the calculation gives 0.0180 eV per atom. As for the space group: No. 123.

Unit cell a=5.0456 b=5.0456 c=25.1673 alpha=90.00 beta=90.00 gamma=90.00
Positions (direct):
Nd: 0.0000 0.0000 0.0000
Sm: 0.0000 0.0000 0.2002
Sm: 0.0000 0.0000 0.4001
Sm: 0.0000 0.0000 0.5999
Sm: 0.0000 0.0000 0.7998
Dy: 0.0000 0.5000 0.1004
Dy: 0.0000 0.5000 0.3001
Dy: 0.0000 0.5000 0.5000
Dy: 0.0000 0.5000 0.6999
Dy: 0.0000 0.5000 0.8996
Dy: 0.5000 0.0000 0.1004
Dy: 0.5000 0.0000 0.3001
Dy: 0.5000 0.0000 0.5000
Dy: 0.5000 0.0000 0.6999
Dy: 0.5000 0.0000 0.8996
Dy: 0.5000 0.5000 0.0000
Dy: 0.5000 0.5000 0.2003
Dy: 0.5000 0.5000 0.4000
Dy: 0.5000 0.5000 0.6000
Dy: 0.5000 0.5000 0.7997

No. 10
The following is a PBE calculation of a relaxed Nd7Sm3Dy2 crystal, from Alexandria.

## Properties
For the formation energy from the elements, the calculation gives 0.0724 eV per atom. As for the space group: No. 10.

Unit cell a=6.5090 b=3.5897 c=17.7987 alpha=90.00 beta=95.99 gamma=90.00
Positions (direct):
Nd: 0.0000 0.0000 0.0000
Nd: 0.2231 0.5000 0.1702
Nd: 0.2561 0.5000 0.4954
Nd: 0.2738 0.0000 0.8318
Nd: 0.7262 0.0000 0.1682
Nd: 0.7439 0.5000 0.5046
Nd: 0.7769 0.5000 0.8298
Sm: 0.4535 0.0000 0.3393
Sm: 0.5000 0.5000 0.0000
Sm: 0.5465 0.0000 0.6607
Dy: 0.0580 0.5000 0.6701
Dy: 0.9420 0.5000 0.3299

No. 11
The following is a PBE calculation of a relaxed Nd5SmDy4 crystal, from Alexandria.

## Properties
For the formation energy from the elements, the calculation gives 0.0147 eV per atom. As for the space group: No. 12.

Unit cell a=9.5622 b=9.5622 c=10.2371 alpha=105.82 beta=105.82 gamma=21.85
Positions (direct):
Nd: 0.0000 0.0000 0.0000
Nd: 0.2003 0.2003 0.1003
Nd: 0.3996 0.3996 0.6965
Nd: 0.6004 0.6004 0.3035
Nd: 0.7997 0.7997 0.8997
Sm: 0.0000 0.0000 0.5000
Dy: 0.1998 0.1998 0.5999
Dy: 0.3992 0.3992 0.2026
Dy: 0.6008 0.6008 0.7974
Dy: 0.8002 0.8002 0.4001

No. 12
The following is a PBE calculation of a relaxed NdSm6Dy3 crystal, from Alexandria.

## Properties
For the formation energy from the elements, the calculation gives 0.1464 eV per atom. As for the space group: No. 36.

Unit cell a=11.0896 b=11.0896 c=6.3014 alpha=90.00 beta=90.00 gamma=120.26
Positions (direct):
Nd: 0.1968 0.8032 0.5000
Nd: 0.8032 0.1968 0.0000
Sm: 0.0387 0.9613 0.2687
Sm: 0.0530 0.4712 0.7564
Sm: 0.2799 0.7201 0.0273
Sm: 0.2908 0.3744 0.9297
Sm: 0.3744 0.2908 0.4297
Sm: 0.4712 0.0530 0.2564
Sm: 0.5288 0.9470 0.7564
Sm: 0.6256 0.7092 0.9297
Sm: 0.7092 0.6256 0.4297
Sm: 0.7201 0.2799 0.5273
Sm: 0.9470 0.5288 0.2564
Sm: 0.9613 0.0387 0.7687
Dy: 0.0583 0.2871 0.3464
Dy: 0.2871 0.0583 0.8464
Dy: 0.3851 0.6149 0.4662
Dy: 0.6149 0.3851 0.9662
Dy: 0.7129 0.9417 0.3464
Dy: 0.9417 0.7129 0.8464

No. 13
The following is a PBE calculation of a relaxed NdSm4Dy7 crystal, from Alexandria.

## Properties
For the formation energy from the elements, the calculation gives 0.2595 eV per atom. As for the space group: No. 12.

Unit cell a=6.7482 b=6.7482 c=12.7461 alpha=114.98 beta=114.98 gamma=52.06
Positions (direct):
Nd: 0.0000 0.0000 0.0000
Sm: 0.2373 0.2373 0.6758
Sm: 0.3651 0.3651 0.2238
Sm: 0.6349 0.6349 0.7762
Sm: 0.7627 0.7627 0.3242
Dy: 0.0640 0.0640 0.3229
Dy: 0.2108 0.2108 0.9227
Dy: 0.3676 0.3676 0.5008
Dy: 0.5000 0.5000 0.0000
Dy: 0.6324 0.6324 0.4992
Dy: 0.7892 0.7892 0.0773
Dy: 0.9360 0.9360 0.6771

No. 14
The following is a PBE calculation of a relaxed Nd5SmDy6 crystal, from Alexandria.

## Properties
For the formation energy from the elements, the calculation gives 0.0155 eV per atom. As for the space group: No. 71.

Unit cell a=9.5395 b=9.5395 c=9.5395 alpha=148.90 beta=115.74 gamma=73.11
Positions (direct):
Nd: 0.0000 0.0000 0.0000
Nd: 0.1667 0.6667 0.5000
Nd: 0.3339 0.3339 0.0000
Nd: 0.6661 0.6661 0.0000
Nd: 0.8333 0.3333 0.5000
Sm: 0.5000 0.0000 0.5000
Dy: 0.0838 0.8334 0.2503
Dy: 0.2506 0.5000 0.7506
Dy: 0.4169 0.1666 0.2503
Dy: 0.5831 0.8334 0.7497
Dy: 0.7494 0.5000 0.2494
Dy: 0.9162 0.1666 0.7497

No. 15
The following is a PBE calculation of a relaxed Nd7Sm3Dy crystal, from Alexandria.

## Properties
For the formation energy from the elements, the calculation gives 0.1712 eV per atom. As for the space group: No. 156.

Unit cell a=7.2466 b=7.2466 c=8.7741 alpha=90.00 beta=90.00 gamma=120.00
Positions (direct):
Nd: 0.0000 0.0000 0.0000
Nd: 0.0009 0.5004 0.0104
Nd: 0.3329 0.1665 0.6695
Nd: 0.4996 0.5004 0.0104
Nd: 0.4996 0.9991 0.0104
Nd: 0.8335 0.1665 0.6695
Nd: 0.8335 0.6671 0.6695
Sm: 0.1672 0.3343 0.3415
Sm: 0.1672 0.8328 0.3415
Sm: 0.6657 0.8328 0.3415
Dy: 0.3333 0.6667 0.6798

No. 16
The following is a PBE calculation of a relaxed Nd6Sm12Dy crystal, from Alexandria.

## Properties
For the formation energy from the elements, the calculation gives 0.1360 eV per atom. As for the space group: No. 148.

Unit cell a=8.7033 b=8.7033 c=8.7033 alpha=89.22 beta=89.22 gamma=89.22
Positions (direct):
Nd: 0.1966 0.5937 0.7622
Nd: 0.2378 0.8034 0.4063
Nd: 0.4063 0.2378 0.8034
Nd: 0.5937 0.7622 0.1966
Nd: 0.7622 0.1966 0.5937
Nd: 0.8034 0.4063 0.2378
Sm: 0.0364 0.2779 0.9364
Sm: 0.0636 0.9636 0.7221
Sm: 0.1415 0.3046 0.4830
Sm: 0.2779 0.9364 0.0364
Sm: 0.3046 0.4830 0.1415
Sm: 0.4830 0.1415 0.3046
Sm: 0.5170 0.8585 0.6954
Sm: 0.6954 0.5170 0.8585
Sm: 0.7221 0.0636 0.9636
Sm: 0.8585 0.6954 0.5170
Sm: 0.9364 0.0364 0.2779
Sm: 0.9636 0.7221 0.0636
Dy: 0.5000 0.5000 0.5000

No. 17
The following is a PBE calculation of a relaxed Nd5Sm3Dy3 crystal, from Alexandria.

## Properties
For the formation energy from the elements, the calculation gives 0.3124 eV per atom. As for the space group: No. 189.

Unit cell a=11.3718 b=11.3718 c=3.4669 alpha=90.00 beta=90.00 gamma=120.00
Positions (direct):
Nd: 0.0000 0.3383 0.0000
Nd: 0.3333 0.6667 0.0000
Nd: 0.3383 0.0000 0.0000
Nd: 0.6617 0.6617 0.0000
Nd: 0.6667 0.3333 0.0000
Sm: 0.0000 0.5969 0.5000
Sm: 0.4031 0.4031 0.5000
Sm: 0.5969 0.0000 0.5000
Dy: 0.0000 0.8409 0.0000
Dy: 0.1591 0.1591 0.0000
Dy: 0.8409 0.0000 0.0000

No. 18
The following is a PBE calculation of a relaxed Nd4SmDy6 crystal, from Alexandria.

## Properties
For the formation energy from the elements, the calculation gives 0.4400 eV per atom. As for the space group: No. 121.

Unit cell a=8.5369 b=8.5369 c=8.5369 alpha=126.07 beta=126.07 gamma=79.77
Positions (direct):
Nd: 0.2496 0.2496 0.6513
Nd: 0.4016 0.7504 0.0000
Nd: 0.5984 0.5984 0.3487
Nd: 0.7504 0.4016 0.0000
Sm: 0.0000 0.0000 0.0000
Dy: 0.0000 0.5000 0.5000
Dy: 0.0602 0.5702 0.0000
Dy: 0.4298 0.4298 0.4900
Dy: 0.5000 0.0000 0.5000
Dy: 0.5702 0.0602 0.0000
Dy: 0.9398 0.9398 0.5100

no.,total magnetization (μB per formula unit),calculated total energy (Ry/atom),theoretical density (Mg/m³)
1,0.0,-0.341,7.794
2,0.0,-0.332,8.138
3,0.0,-0.330,7.292
4,0.0,-0.345,7.455
5,0.0,-0.336,7.021
6,0.0,-0.342,7.646
7,0.0,-0.338,7.030
8,0.0,-0.334,7.390
9,0.0,-0.339,8.250
10,0.0,-0.342,7.170
11,0.0,-0.344,7.550
12,0.0,-0.334,7.611
13,0.0,-0.323,7.739
14,0.0,-0.343,7.709
15,0.0,-0.336,6.755
16,0.0,-0.338,7.136
17,0.0,-0.323,7.098
18,0.0,-0.311,7.200